Computed, not measured: a geometry-optimized Tb4InSnC structure at the PBE level of DFT.

Properties
- energy of formation from the pure elements (eV/atom) = -0.49
- symmetry = Cmcm
- crystal system = orthorhombic

Lattice parameters (Å, degrees): 6.893 6.889 8.629 90.00 113.54 90.00
Atoms (fractional coordinates):
Tb 0.911 0.250 0.822
Tb 0.411 0.750 0.821
Tb 0.089 0.750 0.178
Tb 0.589 0.250 0.179
Tb 0.500 0.500 0.500
Tb 0.000 0.000 0.500
Tb 0.500 0.000 0.500
Tb 0.000 0.500 0.500
In 0.613 0.750 0.226
In 0.387 0.250 0.774
Sn 0.113 0.250 0.225
Sn 0.887 0.750 0.775
C 0.251 0.750 0.501
C 0.749 0.250 0.499